Record 1
First-principles (PBE) data for a relaxed structure of Ce2PPb, as listed in the Alexandria database.

Cell and atoms, written as extended XYZ:
```
4
Lattice="-2.342 -0.479 3.278 -1.493 -0.780 -3.691 4.491 -7.032 -0.330" Properties=species:S:1:pos:R:3 pbc="T T T"
Ce 1.938 -6.064 0.498
Ce -1.281 -2.228 -1.241
P 0.657 -8.291 -0.743
Pb 1.499 -3.906 -2.011
```

Summary:
For the density of states at the Fermi level, the calculation gives 10.379 states/eV/f.u. The calculation puts the formation energy at -0.891 eV/atom. The crystal system is trigonal.

=====

Record 2
First-principles (PBE) data for a relaxed structure of CeP2Pt7Pb2, as listed in the Alexandria database.

Cell and atoms, written as extended XYZ:
```
12
Lattice="4.010 -0.003 -0.002 0.002 4.010 -0.002 2.017 2.014 15.240" Properties=species:S:1:pos:R:3 pbc="T T T"
Ce 0.000 0.000 0.000
P 4.021 4.016 11.675
P 2.008 2.006 3.561
Pt 2.006 2.004 -0.002
Pt 2.015 2.012 5.832
Pt 4.015 4.010 9.404
Pt 4.011 2.001 2.259
Pt 2.006 4.009 2.259
Pt 4.023 2.013 12.977
Pt 2.018 4.021 12.977
Pb 4.018 4.013 6.449
Pb 2.012 2.009 8.787
```

Summary:
For the density of states at the Fermi level, the calculation gives 6.118 states/eV/f.u. The calculation puts the formation energy at -0.574 eV/atom. The crystal system is monoclinic.